# SmHoAlRh

A relaxed structure of SmHoAlRh (PBE, the Alexandria database).

Calculated volume = 360.7 Å³ per cell
M_tot = 0.00 μB/f.u.
Theoretical density = 8.20 g/cm3

Unit cell a=7.1186 b=7.1186 c=7.1186 alpha=90.00 beta=90.00 gamma=90.00
Closest atoms and distances in Å follow each position.
Space group F-43m (No. 216)
Inequivalent atoms, fractional coordinates:
Sm  0.0000  0.0000  0.0000  4 Rh 3.08, 4 Al 3.08
Ho  0.0000  0.0000  0.5000  4 Al 3.08, 4 Rh 3.08
Al  0.2500  0.2500  0.7500  4 Ho 3.08, 4 Sm 3.08
Rh  0.2500  0.2500  0.2500  4 Ho 3.08, 4 Sm 3.08

---

# LaOs2Ru

A relaxed structure of LaOs2Ru (PBE, the Alexandria database).

Calculated volume = 149.6 Å³ per cell
Energy relative to the lowest polymorph listed for this composition = 0.080 eV per atom
M_tot = 0.00 μB/f.u.
Theoretical density = 13.78 g/cm3

Unit cell a=9.4547 b=2.9115 c=5.5770 alpha=90.00 beta=103.05 gamma=90.00
Closest atoms and distances in Å follow each position.
Space group Cm (No. 8)
Inequivalent atoms, fractional coordinates:
La  0.0000  0.0000  0.0000  2 La 2.91, 3 Ru 2.96-3.09, 6 Os 3.05-3.24
Os  0.0026  0.5000  0.5200  5 Os 2.61-2.91, 2 Ru 2.68
Os  0.2370  0.0000  0.6444  2 Ru 2.54, 3 Os 2.61-2.75
Ru  0.2737  0.5000  0.2891  4 Os 2.54-2.68

---

# Na2ZrScRe

A relaxed structure of Na2ZrScRe (PBE, the Alexandria database).

Calculated volume = 135.1 Å³ per cell
M_tot = 0.62 μB/f.u.
Theoretical density = 4.53 g/cm3

Unit cell a=5.3291 b=5.3291 c=4.7556 alpha=90.00 beta=90.00 gamma=90.00
Closest atoms and distances in Å follow each position.
Space group P4/mmm (No. 123)
Inequivalent atoms, fractional coordinates:
Na  0.0000  0.5000  0.0000  2 Zr 2.66
Zr  0.0000  0.0000  0.0000  2 Re 2.38
Sc  0.5000  0.5000  0.5000  8 Na 3.57, 4 Re 3.77
Re  0.0000  0.0000  0.5000  2 Zr 2.38

---

# Tb2As4Pt3Rh

A relaxed structure of Tb2As4Pt3Rh (PBE, the Alexandria database).

Calculated volume = 190.6 Å³ per cell
M_tot = 0.00 μB/f.u.
Theoretical density = 11.38 g/cm3

Unit cell a=4.3424 b=4.3424 c=10.1076 alpha=90.00 beta=90.00 gamma=90.00
Closest atoms and distances in Å follow each position.
Space group P-4m2 (No. 115)
Inequivalent atoms, fractional coordinates:
Tb  0.0000  0.5000  0.2436  8 As 3.28-3.38, 2 Rh 3.28, 6 Pt 3.28-3.33
As  0.0000  0.0000  0.5000  4 Pt 2.54
As  0.0000  0.5000  0.8696  3 Pt 2.43-2.54, 2 Rh 2.54
As  0.5000  0.5000  0.5000  4 Pt 2.54
Pt  0.0000  0.0000  0.0000  4 As 2.54
Pt  0.0000  0.5000  0.6295  5 As 2.43-2.54
Rh  0.5000  0.5000  0.0000  4 As 2.54

---

# CsC

A relaxed structure of CsC (PBE, the Alexandria database).

Calculated volume = 247.9 Å³ per cell
Energy relative to the lowest polymorph listed for this composition = 0.723 eV per atom
M_tot = 0.00 μB/f.u.
Theoretical density = 3.88 g/cm3

Unit cell a=4.4844 b=18.7932 c=2.9420 alpha=90.00 beta=90.00 gamma=90.00
Closest atoms and distances in Å follow each position.
Space group Cmcm (No. 63)
Inequivalent atoms, fractional coordinates:
Cs  0.0000  0.1087  0.2500  2 Cs 2.94, 6 C 3.14-3.28
C  0.0000  0.4915  0.2500  2 C 1.50

---

# CaTb2Pr6Ho

A relaxed structure of CaTb2Pr6Ho (PBE, the Alexandria database).

Calculated volume = 1425.8 Å³ per cell
M_tot = 0.00 μB/f.u.
Theoretical density = 6.37 g/cm3

Unit cell a=9.2777 b=15.6099 c=9.9647 alpha=90.00 beta=98.88 gamma=90.00
Closest atoms and distances in Å follow each position.
Space group C2/c (No. 15)
Inequivalent atoms, fractional coordinates:
Ca  0.0000  0.0981  0.2500  6 Pr 3.59-3.70, 2 Tb 3.68
Tb  0.2467  0.4512  0.0434  5 Pr 3.33-3.55, 2 Ho 3.44-3.51, 1 Ca 3.68
Pr  0.0599  0.3253  0.4474  5 Pr 3.45-3.85, 1 Tb 3.47, 1 Ho 3.70
Pr  0.1064  0.1053  0.6230  3 Pr 3.31-3.45, 3 Tb 3.33-3.51, 2 Ca 3.61-3.70
Pr  0.2017  0.2718  0.8220  4 Pr 3.31-3.69, 1 Tb 3.55, 1 Ca 3.59, 1 Ho 3.68
Ho  0.0000  0.4738  0.7500  4 Tb 3.44-3.51, 4 Pr 3.68-3.70

---

# AgAu5

A relaxed structure of AgAu5 (PBE, the Alexandria database).

Calculated volume = 467.0 Å³ per cell
Energy relative to the lowest polymorph listed for this composition = 0.130 eV per atom
M_tot = 0.00 μB/f.u.
Theoretical density = 15.54 g/cm3

Unit cell a=7.7582 b=7.7582 c=7.7582 alpha=90.00 beta=90.00 gamma=90.00
Closest atoms and distances in Å follow each position.
Space group F-43m (No. 216)
Inequivalent atoms, fractional coordinates:
Ag  0.0000  0.0000  0.0000  16 Au 3.22-3.36
Au  0.1250  0.1250  0.6250  6 Au 2.74
Au  0.2500  0.2500  0.2500  12 Au 3.22, 4 Ag 3.36

---

# Tl3Co

A relaxed structure of Tl3Co (PBE, the Alexandria database).

Calculated volume = 98.0 Å³ per cell
M_tot = 1.16 μB/f.u.
Theoretical density = 11.38 g/cm3

Unit cell a=3.4243 b=3.4243 c=9.6547 alpha=90.00 beta=90.00 gamma=120.00
Closest atoms and distances in Å follow each position.
Space group P-6m2 (No. 187)
Inequivalent atoms, fractional coordinates:
Tl  0.0000  0.0000  0.0000  12 Tl 3.42-3.53
Tl  0.6667  0.3333  0.3027  3 Co 2.75
Co  0.0000  0.0000  0.5000  6 Tl 2.75

---

| no. | formation enthalpy at 0 K (eV per atom) |
| --- | --- |
| 1 | -0.5113 |
| 2 | 0.4028 |
| 3 | 1.4281 |
| 4 | -0.8193 |
| 5 | 1.0318 |
| 6 | 0.1286 |
| 7 | 0.1082 |
| 8 | 0.4098 |